A geometry-optimized ZrCdIn2 structure, computed with GGA-PBEsol.

Computed properties:
ρ in Mg/m³: 8.632
Energy relative to the elements in kJ/mol of formula units: -117.6

a = 4.4028 Å, b = 4.4028 Å, c = 4.2997 Å
α = 90.00°, β = 90.00°, γ = 90.00°
Space group P4/mmm (No. 123)
One atom of each set of equivalent atoms:
Zr  0.0000  0.0000  0.0000 (multiplicity 1)
Cd  0.5000  0.5000  0.0000 (multiplicity 1)
In  0.0000  0.5000  0.5000 (multiplicity 2)

=====

A geometry-optimized HfBeCdRe2 structure, computed with GGA-PBEsol.

Computed properties:
ρ in Mg/m³: 12.054
Energy relative to the elements in kJ/mol of formula units: 883.8

a = 4.8559 Å, b = 4.8559 Å, c = 3.9277 Å
α = 90.00°, β = 90.00°, γ = 90.00°
Space group P4/mmm (No. 123)
One atom of each set of equivalent atoms:
Hf  0.0000  0.0000  0.0000 (multiplicity 1)
Be  0.5000  0.5000  0.0000 (multiplicity 1)
Cd  0.5000  0.5000  0.5000 (multiplicity 1)
Re  0.0000  0.5000  0.5000 (multiplicity 2)

=====

A geometry-optimized AgMo3H structure, computed with GGA-PBEsol.

Computed properties:
ρ in Mg/m³: 6.145
E_tot in eV per cell: -25.48

a = 4.7503 Å, b = 4.7503 Å, c = 4.7503 Å
α = 90.00°, β = 90.00°, γ = 90.00°
Space group Pm-3m (No. 221)
One atom of each set of equivalent atoms:
Ag  0.0000  0.0000  0.0000 (multiplicity 1)
Mo  0.0000  0.0000  0.5000 (multiplicity 3)
H  0.5000  0.5000  0.5000 (multiplicity 1)